# 1
# BaLiMgCd3 (PBE, optimized geometry)
data_BaLiMgCd3
_chemical_formula_sum 'Ba4 Li4 Mg4 Cd12'
_symmetry_space_group_name_H-M 'C m c m'
_symmetry_Int_Tables_number 63
_symmetry_space_group_name_Hall '-C 2c 2'
_cell_length_a 6.876
_cell_length_b 13.874
_cell_length_c 6.798
_cell_angle_alpha 90.00
_cell_angle_beta 90.00
_cell_angle_gamma 90.00
loop_
_atom_site_label
_atom_site_type_symbol
_atom_site_fract_x
_atom_site_fract_y
_atom_site_fract_z
Ba1 Ba 0.000 0.216 0.250
Li1 Li 0.000 0.440 0.250
Mg1 Mg 0.000 0.140 0.750
Cd1 Cd 0.000 0.359 0.750
Cd2 Cd 0.218 0.000 0.000
# VASP energy   -9.138 eV per formula unit
# Total magnetic moment   0.00 μB per cell

***

# 2
# SmPaZnOs (PBE, optimized geometry)
data_SmPaZnOs
_chemical_formula_sum 'Sm4 Pa4 Zn4 Os4'
_symmetry_space_group_name_H-M 'F -4 3 m'
_symmetry_Int_Tables_number 216
_symmetry_space_group_name_Hall 'F -4 2 3'
_cell_length_a 7.016
_cell_length_b 7.016
_cell_length_c 7.016
_cell_angle_alpha 90.00
_cell_angle_beta 90.00
_cell_angle_gamma 90.00
loop_
_atom_site_label
_atom_site_type_symbol
_atom_site_fract_x
_atom_site_fract_y
_atom_site_fract_z
Sm1 Sm 0.000 0.000 0.000
Pa1 Pa 0.000 0.000 0.500
Zn1 Zn 0.250 0.250 0.750
Os1 Os 0.250 0.250 0.250
# VASP energy   -27.060 eV per formula unit
# Total magnetic moment   0.00 μB per cell

***

# 3
# In2AsRh (PBE, optimized geometry)
data_In2AsRh
_chemical_formula_sum 'In8 As4 Rh4'
_symmetry_space_group_name_H-M 'F -4 3 m'
_symmetry_Int_Tables_number 216
_symmetry_space_group_name_Hall 'F -4 2 3'
_cell_length_a 6.802
_cell_length_b 6.802
_cell_length_c 6.802
_cell_angle_alpha 90.00
_cell_angle_beta 90.00
_cell_angle_gamma 90.00
loop_
_atom_site_label
_atom_site_type_symbol
_atom_site_fract_x
_atom_site_fract_y
_atom_site_fract_z
In1 In 0.000 0.000 0.000
In2 In 0.250 0.250 0.250
As1 As 0.000 0.000 0.500
Rh1 Rh 0.250 0.250 0.750
# VASP energy   -16.946 eV per formula unit
# Total magnetic moment   0.00 μB per cell

***

# 4
# Tb3NdTh4As8 (PBE, optimized geometry)
data_Tb3NdTh4As8
_chemical_formula_sum 'Tb9 Nd3 Th12 As24'
_symmetry_space_group_name_H-M 'R -3 m'
_symmetry_Int_Tables_number 166
_symmetry_space_group_name_Hall '-R 3 2"'
_cell_length_a 8.4475
_cell_length_b 8.4475
_cell_length_c 20.5469
_cell_angle_alpha 90.00
_cell_angle_beta 90.00
_cell_angle_gamma 120.00
loop_
_atom_site_label
_atom_site_type_symbol
_atom_site_fract_x
_atom_site_fract_y
_atom_site_fract_z
Tb1 Tb 0.0000 0.5000 0.0000
Nd1 Nd 0.0000 0.0000 0.0000
Th1 Th 0.0000 0.0000 0.5000
Th2 Th 0.0000 0.5000 0.5000
As1 As 0.0000 0.0000 0.2520
As2 As 0.0035 0.5018 0.2511
# VASP energy   -109.084 eV per formula unit
# Total magnetic moment   0.00 μB per cell

***

# 5
# RbBaBr2F (PBE, optimized geometry)
data_RbBaBr2F
_chemical_formula_sum 'Rb1 Ba1 Br2 F1'
_symmetry_space_group_name_H-M 'P 4/m m m'
_symmetry_Int_Tables_number 123
_symmetry_space_group_name_Hall '-P 4 2'
_cell_length_a 6.446
_cell_length_b 6.446
_cell_length_c 4.972
_cell_angle_alpha 90.00
_cell_angle_beta 90.00
_cell_angle_gamma 90.00
loop_
_atom_site_label
_atom_site_type_symbol
_atom_site_fract_x
_atom_site_fract_y
_atom_site_fract_z
Rb1 Rb 0.000 0.000 0.000
Ba1 Ba 0.500 0.500 0.500
Br1 Br 0.000 0.500 0.500
F1 F 0.500 0.500 0.000
# VASP energy   -20.095 eV per formula unit
# Formation energy (no corrections)   -2398 meV/atom
# Total magnetic moment   0.00 μB per cell

***

# 6
# PbSBr2 (PBE, optimized geometry)
data_PbSBr2
_chemical_formula_sum 'Pb3 S3 Br6'
_symmetry_space_group_name_H-M 'R -3 m'
_symmetry_Int_Tables_number 166
_symmetry_space_group_name_Hall '-R 3 2"'
_cell_length_a 3.8235
_cell_length_b 3.8235
_cell_length_c 29.3801
_cell_angle_alpha 90.00
_cell_angle_beta 90.00
_cell_angle_gamma 120.00
loop_
_atom_site_label
_atom_site_type_symbol
_atom_site_fract_x
_atom_site_fract_y
_atom_site_fract_z
Pb1 Pb 0.0000 0.0000 0.0000
S1 S 0.0000 0.0000 0.5000
Br1 Br 0.0000 0.0000 0.0984
# ΔE to the lowest computed polymorph   1.61 eV/f.u.
# VASP energy   -9.453 eV per formula unit
# Formation energy (no corrections)   432 meV/atom
# Total magnetic moment   7.51 μB per cell

***

Which value of VASP energy does entry 4 give? -109.084 eV per formula unit

***

Which of these has the highest VASP energy? BaLiMgCd3